Record 1
Computed, not measured: crystalline BaSrAu2 at its relaxed geometry at the PBEsol level of DFT.

Cell lengths 4.721, 6.282, 6.282 Å; angles 40.76, 90.00, 90.00 degrees
Element x y z (fractional)
Ba (0.000, 0.000, 0.000)
Sr (0.500, 0.277, 0.277)
Au (0.000, 0.717, 0.717)
Au (0.500, 0.568, 0.568)

Properties
The distance to the lowest polymorph of the same formula comes out at 0 meV/atom. The formation energy is -0.68 eV/atom. The value obtained for the total magnetization is 0.00 μB per formula unit. The density of states at the Fermi level comes out at 2.7 states/eV/cell. For the total energy, the calculation gives -3.6367 eV/atom. The symmetry is Amm2.


Record 2
Computed, not measured: crystalline BaSrAu2 at its relaxed geometry at the PBEsol level of DFT.

Cell lengths 7.819, 7.819, 7.819 Å; angles 33.75, 33.75, 33.75 degrees
Element x y z (fractional)
Ba (0.000, 0.000, 0.000)
Sr (0.500, 0.500, 0.500)
Au (0.245, 0.245, 0.245)
Au (0.755, 0.755, 0.755)

Properties
The distance to the lowest polymorph of the same formula comes out at 98 meV/atom. The formation energy is -0.58 eV/atom. The value obtained for the total magnetization is 0.00 μB per formula unit. The density of states at the Fermi level comes out at 2.6 states/eV/cell. For the total energy, the calculation gives -3.5390 eV/atom. The symmetry is R-3m.


Record 3
Computed, not measured: crystalline BaSrAu2 at its relaxed geometry at the PBEsol level of DFT.

Cell lengths 5.445, 5.445, 5.445 Å; angles 60.00, 60.00, 60.00 degrees
Element x y z (fractional)
Ba (0.000, 0.000, 0.000)
Sr (0.500, 0.500, 0.500)
Au (0.250, 0.250, 0.250)
Au (0.750, 0.750, 0.750)

Properties
The distance to the lowest polymorph of the same formula comes out at 44 meV/atom. The formation energy is -0.63 eV/atom. The value obtained for the total magnetization is 0.00 μB per formula unit. The density of states at the Fermi level comes out at 2.7 states/eV/cell. For the total energy, the calculation gives -3.5927 eV/atom. The symmetry is Fm-3m.


- The lowest distance to the lowest polymorph of the same formula belongs to which entry?
  number 1